w | BaLi2Cu: relaxed, PBE.

Unit cell a=3.7237 b=3.7163 c=7.4096 alpha=90.00 beta=90.00 gamma=90.00
Element x y z (fractional)
Cu: 0.5000 0.5000 0.8184
Li: 0.5000 0.5000 0.1632
Li: 0.0000 0.0000 0.9765
Ba: 0.0000 0.0000 0.5419

Space-group type: P4mm

x | BaLi2Cu: relaxed, PBE.

Unit cell a=5.9807 b=5.9807 c=5.9807 alpha=135.64 beta=135.64 gamma=64.54
Element x y z (fractional)
Ba: 0.2500 0.7500 0.5000
Li: 0.5000 0.5000 0.0000
Li: 0.0000 0.0000 0.0000
Cu: 0.7500 0.2500 0.5000

Space-group type: I4/mmm

y | BaLi2Cu: relaxed, PBE.

Unit cell a=5.2840 b=5.2840 c=5.2840 alpha=60.00 beta=60.00 gamma=60.00
Element x y z (fractional)
Ba: 0.5000 0.5000 0.5000
Cu: 0.0000 0.0000 0.0000
Li: 0.2500 0.2500 0.2500
Li: 0.7500 0.7500 0.7500

Space-group type: Fm-3m

w is favored, and the nearest alternative lies 69 meV/atom above it.